# 1
Computed, not measured: a geometry-optimized Al2GaTe6Au structure at the PBE level of DFT.

Output
- density of states at the Fermi level (states/eV per atom) = 0.377
- raw formation energy (eV/f.u.) = -1.818

The structure in POSCAR format:
```
Al2GaTe6Au
1.0
7.454 0.280 0.290
2.747 9.627 -0.283
2.747 -0.640 9.610
Au Te Al Ga
2 12 4 2
direct
0.250 0.796 0.204
0.750 0.204 0.796
0.104 0.625 0.087
0.455 0.454 0.330
0.955 0.330 0.454
0.587 0.811 0.966
0.913 0.034 0.189
0.896 0.375 0.913
0.604 0.087 0.625
0.045 0.670 0.546
0.413 0.189 0.034
0.545 0.546 0.670
0.087 0.966 0.811
0.396 0.913 0.375
0.313 0.771 0.596
0.187 0.404 0.229
0.687 0.229 0.404
0.813 0.596 0.771
0.750 0.833 0.167
0.250 0.167 0.833
```

***

# 2
Computed, not measured: a geometry-optimized CaSb2IrI structure at the PBE level of DFT.

Output
- density of states at the Fermi level (states/eV per atom) = 1.066
- raw formation energy (eV/f.u.) = 0.073

The structure in POSCAR format:
```
CaSb2IrI
1.0
5.176 0.000 0.000
0.000 5.176 0.000
0.000 0.000 5.810
I Sb Ca Ir
1 2 1 1
direct
0.000 0.000 0.500
0.500 0.000 0.000
0.000 0.500 0.000
0.500 0.500 0.500
0.000 0.000 0.000
```

***

# 3
Computed, not measured: a geometry-optimized NaIr2F structure at the PBE level of DFT.

Output
- density of states at the Fermi level (states/eV per atom) = 0.836
- raw formation energy (eV/f.u.) = 2.671

The structure in POSCAR format:
```
NaIr2F
1.0
-4.414 -0.834 -1.171
1.361 -1.208 -4.270
-0.699 -8.901 -0.227
Ir F Na
4 2 2
direct
0.412 0.625 0.250
0.875 0.588 0.750
0.338 0.125 0.250
0.375 0.662 0.750
0.250 0.750 0.500
0.500 0.500 0.000
0.750 0.250 0.500
0.000 0.000 0.000
```

***

# 4
Computed, not measured: a geometry-optimized KCdPt2 structure at the PBE level of DFT.

Output
- E_form (eV/atom) = 0.17
- density of states at the Fermi level (states/eV per atom) = 0.479

The structure in POSCAR format:
```
KCdPt2
1.0
-1.505 2.950 2.738
1.086 -2.513 3.305
3.862 1.845 0.135
K Pt Cd
1 2 1
direct
0.000 0.500 0.500
0.500 0.500 0.000
0.000 0.000 0.000
0.500 0.000 0.500
```

***

What did the second record say?
Computed, not measured: a geometry-optimized CaSb2IrI structure at the PBE level of DFT.

Output
- density of states at the Fermi level (states/eV per atom) = 1.066
- raw formation energy (eV/f.u.) = 0.073

The structure in POSCAR format:
```
CaSb2IrI
1.0
5.176 0.000 0.000
0.000 5.176 0.000
0.000 0.000 5.810
I Sb Ca Ir
1 2 1 1
direct
0.000 0.000 0.500
0.500 0.000 0.000
0.000 0.500 0.000
0.500 0.500 0.500
0.000 0.000 0.000
```

***

> Which value of density of states at the Fermi level does entry 4 give?

0.479 states/eV per atom

***

> Which of these has the highest density of states at the Fermi level?

CaSb2IrI

***

Please write out number 2 again, unchanged.
Computed, not measured: a geometry-optimized CaSb2IrI structure at the PBE level of DFT.

Output
- density of states at the Fermi level (states/eV per atom) = 1.066
- raw formation energy (eV/f.u.) = 0.073

The structure in POSCAR format:
```
CaSb2IrI
1.0
5.176 0.000 0.000
0.000 5.176 0.000
0.000 0.000 5.810
I Sb Ca Ir
1 2 1 1
direct
0.000 0.000 0.500
0.500 0.000 0.000
0.000 0.500 0.000
0.500 0.500 0.500
0.000 0.000 0.000
```